Arrangement one

First-principles (PBE-GGA) data for a geometry-optimized Li3BiH structure, as listed in the Alexandria database.

## Properties
Its spin magnetization is 0.0 μB per formula unit.

CIF file:
```
data_Li3BiH
_space_group_name_H-M_alt 'P 1 21/c 1'
_space_group_IT_number 14
_space_group_name_Hall '-P 2ybc'
_cell_length_a 7.3605
_cell_length_b 5.5714
_cell_length_c 10.0021
_cell_angle_alpha 90.00
_cell_angle_beta 116.65
_cell_angle_gamma 90.00
loop_
_atom_site_label
_atom_site_fract_x
_atom_site_fract_y
_atom_site_fract_z
Li1 0.0026 0.0582 0.3731
Li2 0.2386 0.5297 0.5983
Li3 0.3734 0.5006 0.0968
Bi1 0.3338 0.1459 0.8672
H1 0.1212 0.6819 0.0202
```

Arrangement two

First-principles (PBE-GGA) data for a geometry-optimized Li3BiH structure, as listed in the Alexandria database.

## Properties
Its spin magnetization is 0.0 μB per formula unit.

CIF file:
```
data_Li3BiH
_space_group_name_H-M_alt 'P m -3 m'
_space_group_IT_number 221
_space_group_name_Hall '-P 4 2 3'
_cell_length_a 4.2409
_cell_length_b 4.2409
_cell_length_c 4.2409
_cell_angle_alpha 90.00
_cell_angle_beta 90.00
_cell_angle_gamma 90.00
loop_
_atom_site_label
_atom_site_fract_x
_atom_site_fract_y
_atom_site_fract_z
Li1 0.0000 0.0000 0.5000
Bi1 0.5000 0.5000 0.5000
H1 0.0000 0.0000 0.0000
```

Of them, the most stable is arrangement two and the least stable is arrangement one.

Arrangement one

First-principles (PBE-GGA) data for a geometry-optimized Li2BiHPb structure, as listed in the Alexandria database.

## Properties
Its spin magnetization is 0.0 μB per formula unit.

CIF file:
```
data_Li2BiHPb
_space_group_name_H-M_alt 'P 4/m m m'
_space_group_IT_number 123
_space_group_name_Hall '-P 4 2'
_cell_length_a 4.6741
_cell_length_b 4.6741
_cell_length_c 4.6173
_cell_angle_alpha 90.00
_cell_angle_beta 90.00
_cell_angle_gamma 90.00
loop_
_atom_site_label
_atom_site_fract_x
_atom_site_fract_y
_atom_site_fract_z
Li1 0.0000 0.5000 0.0000
Bi1 0.0000 0.0000 0.5000
H1 0.0000 0.0000 0.0000
Pb1 0.5000 0.5000 0.5000
```

Arrangement two

First-principles (PBE-GGA) data for a geometry-optimized Li2BiHPb structure, as listed in the Alexandria database.

## Properties
Its spin magnetization is 0.0 μB per formula unit.

CIF file:
```
data_Li2BiHPb
_space_group_name_H-M_alt 'P 4/m m m'
_space_group_IT_number 123
_space_group_name_Hall '-P 4 2'
_cell_length_a 4.6591
_cell_length_b 4.6591
_cell_length_c 4.6997
_cell_angle_alpha 90.00
_cell_angle_beta 90.00
_cell_angle_gamma 90.00
loop_
_atom_site_label
_atom_site_fract_x
_atom_site_fract_y
_atom_site_fract_z
Li1 0.0000 0.5000 0.0000
Bi1 0.0000 0.0000 0.5000
H1 0.5000 0.5000 0.0000
Pb1 0.5000 0.5000 0.5000
```

Of them, the most stable is arrangement two and the least stable is arrangement one.

Arrangement one

First-principles (PBE-GGA) data for a geometry-optimized LiBi2HPd structure, as listed in the Alexandria database.

## Properties
Its spin magnetization is 0.0 μB per formula unit.

CIF file:
```
data_LiBi2HPd
_space_group_name_H-M_alt 'P 4/m m m'
_space_group_IT_number 123
_space_group_name_Hall '-P 4 2'
_cell_length_a 5.2827
_cell_length_b 5.2827
_cell_length_c 3.4712
_cell_angle_alpha 90.00
_cell_angle_beta 90.00
_cell_angle_gamma 90.00
loop_
_atom_site_label
_atom_site_fract_x
_atom_site_fract_y
_atom_site_fract_z
Li1 0.0000 0.0000 0.0000
Bi1 0.0000 0.5000 0.5000
H1 0.5000 0.5000 0.5000
Pd1 0.5000 0.5000 0.0000
```

Arrangement two

First-principles (PBE-GGA) data for a geometry-optimized LiBi2HPd structure, as listed in the Alexandria database.

## Properties
Its spin magnetization is 0.0 μB per formula unit.

CIF file:
```
data_LiBi2HPd
_space_group_name_H-M_alt 'P 4/m m m'
_space_group_IT_number 123
_space_group_name_Hall '-P 4 2'
_cell_length_a 5.6114
_cell_length_b 5.6114
_cell_length_c 3.3539
_cell_angle_alpha 90.00
_cell_angle_beta 90.00
_cell_angle_gamma 90.00
loop_
_atom_site_label
_atom_site_fract_x
_atom_site_fract_y
_atom_site_fract_z
Li1 0.0000 0.0000 0.0000
Bi1 0.0000 0.5000 0.5000
H1 0.5000 0.5000 0.0000
Pd1 0.5000 0.5000 0.5000
```

Of them, the most stable is arrangement one and the least stable is arrangement two.